ReSi2Pt | GGA-PBE | optimized geometry

The calculation puts the energy relative to the lowest polymorph listed for this composition at 365 meV/atom. As for the space group: Cmmm. For the size of the total moment, the calculation gives 0.000 μB/atom.

abc: 2.9719 5.0527 7.9076
angles: 90.00 90.00 90.00
Last column: nearest neighbours and their distance in Å.
Positions (direct):
Re (0.0000, 0.0000, 0.0000)  4 Si 2.44
Re (0.5000, 0.5000, 0.0000)  4 Si 2.44
Si (0.0000, 0.5000, 0.2440)  2 Re 2.44, 2 Pt 2.51
Si (0.0000, 0.5000, 0.7560)  2 Re 2.44, 2 Pt 2.51
Si (0.5000, 0.0000, 0.2440)  2 Re 2.44, 2 Pt 2.51
Si (0.5000, 0.0000, 0.7560)  2 Re 2.44, 2 Pt 2.51
Pt (0.0000, 0.0000, 0.5000)  4 Si 2.51
Pt (0.5000, 0.5000, 0.5000)  4 Si 2.51